i | Material: NaVGe2O6
Method: DFT, PBE+U
State: relaxed

Unit cell a=5.196 b=6.854 c=6.854 alpha=88.65 beta=83.96 gamma=83.96
Sites, in units of the cell vectors:
Na 0.250 0.918 0.082
Na 0.750 0.082 0.918
V 0.250 0.275 0.725
V 0.750 0.725 0.275
Ge 0.217 0.793 0.600
Ge 0.283 0.400 0.207
Ge 0.783 0.207 0.400
Ge 0.717 0.600 0.793
O 0.154 0.990 0.758
O 0.346 0.242 0.010
O 0.846 0.010 0.242
O 0.654 0.758 0.990
O 0.401 0.835 0.382
O 0.099 0.618 0.165
O 0.599 0.165 0.618
O 0.901 0.382 0.835
O 0.894 0.710 0.574
O 0.606 0.426 0.290
O 0.106 0.290 0.426
O 0.394 0.574 0.710

Summary:
spin magnetization	4.0	μB/cell

=====

ii | Material: NaVGe2O6
Method: DFT, PBE+U
State: relaxed

Unit cell a=5.584 b=6.773 c=6.773 alpha=82.79 beta=77.81 gamma=77.81
Sites, in units of the cell vectors:
Na 0.250 0.806 0.194
Na 0.750 0.194 0.806
V 0.750 0.594 0.406
V 0.250 0.406 0.594
Ge 0.268 0.882 0.692
Ge 0.768 0.692 0.882
Ge 0.732 0.118 0.308
Ge 0.232 0.308 0.118
O 0.135 0.478 0.310
O 0.635 0.310 0.478
O 0.865 0.522 0.690
O 0.365 0.690 0.522
O 0.504 0.123 0.157
O 0.496 0.877 0.843
O 0.004 0.157 0.123
O 0.996 0.843 0.877
O 0.180 0.131 0.593
O 0.680 0.593 0.131
O 0.320 0.407 0.869
O 0.820 0.869 0.407

Summary:
spin magnetization	4.0	μB/cell

=====

Which is most stable, and by how much? ii, by 71 meV per atom.